# 1
DFT (PBE) results for a relaxed structure of CoPt3C.

a = 4.145 Å, b = 4.145 Å, c = 4.145 Å
α = 90.00°, β = 90.00°, γ = 90.00°
Space group Pm-3m (No. 221)
Unique sites:
Co (0.000, 0.000, 0.000)
Pt (0.000, 0.500, 0.500)
C (0.500, 0.500, 0.500)

Output
Total magnetization = 1.90 μB/f.u.
Density of states at the Fermi level = 1.671 states/eV/atom
Calculated density = 15296 kg/m³
ΔE to the lowest computed polymorph = 0.0 kJ/mol of atoms
Energy relative to the elements = 556 meV/atom
Energy = -6.335 eV/atom


# 2
DFT (PBE) results for a relaxed structure of CoPt3C.

a = 4.540 Å, b = 4.540 Å, c = 4.540 Å
α = 90.00°, β = 90.00°, γ = 90.00°
Space group Pm-3m (No. 221)
Unique sites:
Co (0.000, 0.000, 0.000)
Pt (0.000, 0.000, 0.500)
C (0.500, 0.500, 0.500)

Output
Total magnetization = 3.57 μB/f.u.
Density of states at the Fermi level = 1.164 states/eV/atom
Calculated density = 11644 kg/m³
ΔE to the lowest computed polymorph = 165.3 kJ/mol of atoms
Energy relative to the elements = 2269 meV/atom
Energy = -4.621 eV/atom


# 3
DFT (PBE) results for a relaxed structure of Co2PtRhC.

a = 3.866 Å, b = 3.866 Å, c = 3.991 Å
α = 90.00°, β = 90.00°, γ = 90.00°
Space group P4/mmm (No. 123)
Unique sites:
Co (0.000, 0.500, 0.000)
Pt (0.000, 0.000, 0.500)
Rh (0.500, 0.500, 0.500)
C (0.500, 0.500, 0.000)

Output
Total magnetization = 3.21 μB/f.u.
Density of states at the Fermi level = 1.058 states/eV/atom
Calculated density = 11912 kg/m³
Energy relative to the elements = 202 meV/atom
Energy = -7.163 eV/atom


# 4
DFT (PBE) results for a relaxed structure of Co2RuPtC.

a = 3.872 Å, b = 3.872 Å, c = 3.964 Å
α = 90.00°, β = 90.00°, γ = 90.00°
Space group P4/mmm (No. 123)
Unique sites:
Co (0.000, 0.500, 0.000)
Ru (0.000, 0.000, 0.500)
Pt (0.500, 0.500, 0.500)
C (0.000, 0.000, 0.000)

Output
Total magnetization = 3.63 μB/f.u.
Density of states at the Fermi level = 1.298 states/eV/atom
Calculated density = 11900 kg/m³
Energy relative to the elements = 212 meV/atom
Energy = -7.538 eV/atom